Here is Li3OF at its PBEsol-relaxed geometry from the Alexandria database. Energies are from meta-GGA SCAN.

Lattice parameters (Å, degrees): 3.6443 3.6443 3.6443 90.00 90.00 90.00
Positions (direct):
Li 0.0000 0.5000 0.0000
Li 0.0000 0.0000 0.5000
Li 0.5000 0.0000 0.0000
O 0.0000 0.0000 0.0000
F 0.5000 0.5000 0.5000

Values from the calculation:
DOS(E_F) = 0.00 states/eV/f.u.
Symmetry = Pm-3m, No. 221
Raw total energy = -5.653 eV per atom
Magnetic moment = 0.000 μB/f.u.

***

Here is LiPO2F at its PBEsol-relaxed geometry from the Alexandria database. Energies are from meta-GGA SCAN.

Lattice parameters (Å, degrees): 3.4254 4.3695 4.3695 90.00 90.00 90.00
Positions (direct):
P 0.5000 0.0000 0.0000
Li 0.5000 0.5000 0.5000
O 0.0000 0.5000 0.0000
O 0.0000 0.0000 0.5000
F 0.0000 0.0000 0.0000

Values from the calculation:
DOS(E_F) = 2.66 states/eV/f.u.
Symmetry = P4/mmm, No. 123
Raw total energy = -5.483 eV per atom
Magnetic moment = 1.347 μB/f.u.